NaTb4NpS8: optimized geometry, GGA-PBE.

CIF file:
```
data_NaTb4NpS8
_chemical_formula_sum 'Na3 Tb12 Np3 S24'
_cell_length_a 8.1317
_cell_length_b 8.1317
_cell_length_c 20.0652
_cell_angle_alpha 90.00
_cell_angle_beta 90.00
_cell_angle_gamma 120.00
_space_group_name_H-M_alt 'R 3 m'
_space_group_IT_number 160
_space_group_name_Hall 'R 3 -2"'
loop_
_atom_site_label
_atom_site_fract_x
_atom_site_fract_y
_atom_site_fract_z
Na1 0.0000 0.0000 0.0000
Tb1 0.0000 0.0000 0.7493
Tb2 0.0112 0.5056 0.8757
Np1 0.0000 0.0000 0.3719
S1 0.0000 0.0000 0.1356
S2 0.0000 0.0000 0.6167
S3 0.0190 0.5095 0.1287
S4 0.1818 0.3635 0.9540
```

Raw formation energy, eV/atom: -1.81